1.
A plane-wave DFT calculation with PBE was carried out for crystalline Ce3Zn4Pt4 at its relaxed geometry.

The structure in CIF format:
```
data_Ce3Zn4Pt4
_chemical_formula_sum 'Ce6 Zn8 Pt8'
_symmetry_space_group_name_H-M 'I m m m'
_symmetry_Int_Tables_number 71
_symmetry_space_group_name_Hall '-I 2 2'
_cell_length_a 4.029
_cell_length_b 7.610
_cell_length_c 14.192
_cell_angle_alpha 90.00
_cell_angle_beta 90.00
_cell_angle_gamma 90.00
loop_
_atom_site_label
_atom_site_type_symbol
_atom_site_fract_x
_atom_site_fract_y
_atom_site_fract_z
Ce1 Ce 0.000 0.000 0.000
Ce2 Ce 0.000 0.500 0.125
Zn1 Zn 0.000 0.302 0.325
Pt1 Pt 0.000 0.000 0.221
Pt2 Pt 0.000 0.198 0.500
```

---

2.
A plane-wave DFT calculation with PBE was carried out for crystalline CeZnPt at its relaxed geometry.

The structure in CIF format:
```
data_CeZnPt
_chemical_formula_sum 'Ce4 Zn4 Pt4'
_symmetry_space_group_name_H-M 'F -4 3 m'
_symmetry_Int_Tables_number 216
_symmetry_space_group_name_Hall 'F -4 2 3'
_cell_length_a 6.585
_cell_length_b 6.585
_cell_length_c 6.585
_cell_angle_alpha 90.00
_cell_angle_beta 90.00
_cell_angle_gamma 90.00
loop_
_atom_site_label
_atom_site_type_symbol
_atom_site_fract_x
_atom_site_fract_y
_atom_site_fract_z
Ce1 Ce 0.000 0.000 0.000
Zn1 Zn 0.000 0.000 0.500
Pt1 Pt 0.250 0.250 0.250
```

---

3.
A plane-wave DFT calculation with PBE was carried out for crystalline Ce2ZnPt at its relaxed geometry.

The structure in CIF format:
```
data_Ce2ZnPt
_chemical_formula_sum 'Ce6 Zn3 Pt3'
_symmetry_space_group_name_H-M 'R -3 m'
_symmetry_Int_Tables_number 166
_symmetry_space_group_name_Hall '-R 3 2"'
_cell_length_a 4.0704
_cell_length_b 4.0704
_cell_length_c 28.6546
_cell_angle_alpha 90.00
_cell_angle_beta 90.00
_cell_angle_gamma 120.00
loop_
_atom_site_label
_atom_site_type_symbol
_atom_site_fract_x
_atom_site_fract_y
_atom_site_fract_z
Ce1 Ce 0.0000 0.0000 0.1103
Zn1 Zn 0.0000 0.0000 0.0000
Pt1 Pt 0.0000 0.0000 0.5000
```

---

no.,energy of formation (eV/atom),total magnetization (Bohr magnetons per cell)
1,-0.847,2.73
2,-0.684,3.12
3,-0.118,7.76